# 1
This record from the Alexandria database describes a relaxed Pr2Nd2Sm2In crystal. The functional is PBE.

## Properties
VASP energy ... -0.3368 Ry per atom
Formation energy from the elements ... -0.115 eV per atom
Density of states at the Fermi level ... 9.58 states/eV/f.u.
Magnetic moment ... 0.0 Bohr magnetons per cell

a = 6.2387 Å, b = 6.2387 Å, c = 8.1280 Å
α = 97.44°, β = 97.44°, γ = 47.20°
With the nearest neighbours (Å) after each atom.
Atoms (fractional coordinates):
Pr 0.2208 0.2208 0.1373  2 Pr 3.48, 3 In 3.53-3.61, 3 Nd 3.57-3.73, 4 Sm 3.57-3.63
Pr 0.7792 0.7792 0.8627  2 Pr 3.48, 3 In 3.53-3.61, 3 Nd 3.57-3.73, 4 Sm 3.57-3.63
Nd 0.3556 0.3556 0.5824  5 Sm 3.53-3.69, 1 In 3.56, 3 Pr 3.57-3.73, 3 Nd 3.60-3.74
Nd 0.6444 0.6444 0.4176  5 Sm 3.53-3.69, 1 In 3.56, 3 Pr 3.57-3.73, 3 Nd 3.60-3.74
Sm 0.0656 0.0656 0.7180  5 Nd 3.53-3.69, 2 In 3.54, 4 Pr 3.57-3.63, 1 Sm 3.65
Sm 0.9344 0.9344 0.2820  5 Nd 3.53-3.69, 2 In 3.54, 4 Pr 3.57-3.63, 1 Sm 3.65
In 0.5000 0.5000 0.0000  6 Pr 3.53-3.61, 4 Sm 3.54, 2 Nd 3.56

=====

# 2
This record from the Alexandria database describes a relaxed SrPrNdIn crystal. The functional is PBE.

## Properties
VASP energy ... -0.2635 Ry per atom
Formation energy from the elements ... -0.093 eV per atom
Density of states at the Fermi level ... 4.05 states/eV/f.u.
Magnetic moment ... 0.0 Bohr magnetons per cell

a = 5.7418 Å, b = 5.7418 Å, c = 5.7418 Å
α = 60.00°, β = 60.00°, γ = 60.00°
With the nearest neighbours (Å) after each atom.
Atoms (fractional coordinates):
Sr 0.0000 0.0000 0.0000  4 Pr 3.52, 4 Nd 3.52
Pr 0.2500 0.2500 0.2500  4 In 3.52, 4 Sr 3.52
Nd 0.7500 0.7500 0.7500  4 In 3.52, 4 Sr 3.52
In 0.5000 0.5000 0.5000  4 Pr 3.52, 4 Nd 3.52

=====

# 3
This record from the Alexandria database describes a relaxed Tb3Pr6Nd2In crystal. The functional is PBE.

## Properties
VASP energy ... -0.3395 Ry per atom
Formation energy from the elements ... -0.049 eV per atom
Density of states at the Fermi level ... 14.07 states/eV/f.u.
Magnetic moment ... 0.0 Bohr magnetons per cell

a = 6.2766 Å, b = 6.2766 Å, c = 12.0035 Å
α = 95.03°, β = 95.03°, γ = 120.13°
With the nearest neighbours (Å) after each atom.
Atoms (fractional coordinates):
Tb 0.0000 0.0000 0.0000  6 Pr 3.60-3.64, 6 Tb 3.62
Tb 0.3324 0.6676 0.0000  6 Pr 3.60-3.64, 6 Tb 3.61-3.65
Tb 0.6676 0.3324 0.0000  6 Pr 3.60-3.64, 6 Tb 3.61-3.65
Pr 0.0914 0.4168 0.2499  6 Pr 3.53-3.67, 1 In 3.59, 3 Tb 3.60-3.64, 2 Nd 3.63-3.64
Pr 0.2584 0.2584 0.7510  6 Pr 3.53-3.67, 3 Tb 3.60-3.64, 1 In 3.60, 2 Nd 3.64
Pr 0.4168 0.0914 0.2499  6 Pr 3.53-3.67, 1 In 3.59, 3 Tb 3.60-3.64, 2 Nd 3.63-3.64
Pr 0.5832 0.9086 0.7501  6 Pr 3.53-3.67, 1 In 3.59, 3 Tb 3.60-3.64, 2 Nd 3.63-3.64
Pr 0.7416 0.7416 0.2490  6 Pr 3.53-3.67, 3 Tb 3.60-3.64, 1 In 3.60, 2 Nd 3.64
Pr 0.9086 0.5832 0.7501  6 Pr 3.53-3.67, 1 In 3.59, 3 Tb 3.60-3.64, 2 Nd 3.63-3.64
Nd 0.1665 0.8335 0.5000  3 In 3.62-3.63, 3 Nd 3.62, 6 Pr 3.63-3.64
Nd 0.8335 0.1665 0.5000  3 In 3.62-3.63, 3 Nd 3.62, 6 Pr 3.63-3.64
In 0.5000 0.5000 0.5000  6 Pr 3.59-3.60, 6 Nd 3.62-3.63

=====

# 4
This record from the Alexandria database describes a relaxed Tb2Pr6Nd3In crystal. The functional is PBE.

## Properties
VASP energy ... -0.3393 Ry per atom
Formation energy from the elements ... -0.034 eV per atom
Density of states at the Fermi level ... 15.62 states/eV/f.u.
Magnetic moment ... 0.0 Bohr magnetons per cell

a = 6.3233 Å, b = 6.3233 Å, c = 11.9954 Å
α = 95.18°, β = 95.18°, γ = 120.30°
With the nearest neighbours (Å) after each atom.
Atoms (fractional coordinates):
Tb 0.1657 0.8343 0.0000  6 Pr 3.57-3.58, 3 In 3.63-3.67, 3 Tb 3.64-3.65
Tb 0.8343 0.1657 0.0000  6 Pr 3.57-3.58, 3 In 3.63-3.67, 3 Tb 3.64-3.65
Pr 0.0947 0.4204 0.7570  1 In 3.52, 6 Pr 3.56-3.70, 2 Tb 3.57-3.58, 3 Nd 3.68-3.70
Pr 0.2551 0.2551 0.2455  6 Pr 3.56-3.70, 1 In 3.56, 2 Tb 3.58, 3 Nd 3.67-3.70
Pr 0.4204 0.0947 0.7570  1 In 3.52, 6 Pr 3.56-3.70, 2 Tb 3.57-3.58, 3 Nd 3.68-3.70
Pr 0.5796 0.9053 0.2430  1 In 3.52, 6 Pr 3.56-3.70, 2 Tb 3.57-3.58, 3 Nd 3.68-3.70
Pr 0.7449 0.7449 0.7545  6 Pr 3.56-3.70, 1 In 3.56, 2 Tb 3.58, 3 Nd 3.67-3.70
Pr 0.9053 0.5796 0.2430  1 In 3.52, 6 Pr 3.56-3.70, 2 Tb 3.57-3.58, 3 Nd 3.68-3.70
Nd 0.0000 0.0000 0.5000  6 Nd 3.63-3.66, 6 Pr 3.68-3.70
Nd 0.3305 0.6695 0.5000  6 Nd 3.61-3.72, 6 Pr 3.67-3.70
Nd 0.6695 0.3305 0.5000  6 Nd 3.61-3.72, 6 Pr 3.67-3.70
In 0.5000 0.5000 0.0000  6 Pr 3.52-3.56, 6 Tb 3.63-3.67

=====

# 5
This record from the Alexandria database describes a relaxed TbPrNdIn crystal. The functional is PBE.

## Properties
VASP energy ... -0.3189 Ry per atom
Formation energy from the elements ... -0.111 eV per atom
Density of states at the Fermi level ... 6.00 states/eV/f.u.
Magnetic moment ... 1.3 Bohr magnetons per cell

a = 5.5772 Å, b = 5.5772 Å, c = 5.5772 Å
α = 60.00°, β = 60.00°, γ = 60.00°
With the nearest neighbours (Å) after each atom.
Atoms (fractional coordinates):
Tb 0.0000 0.0000 0.0000  4 In 3.42, 4 Pr 3.42
Pr 0.7500 0.7500 0.7500  4 Nd 3.42, 4 Tb 3.42
Nd 0.5000 0.5000 0.5000  4 Pr 3.42, 4 In 3.42
In 0.2500 0.2500 0.2500  4 Nd 3.42, 4 Tb 3.42

=====

# 6
This record from the Alexandria database describes a relaxed PrNdIn2Te4 crystal. The functional is PBE.

## Properties
VASP energy ... -0.3265 Ry per atom
Density of states at the Fermi level ... 0.37 states/eV/f.u.
Raw formation energy ... -0.993 eV/atom
Magnetic moment ... 0.0 Bohr magnetons per cell

a = 7.8580 Å, b = 4.5385 Å, c = 8.5249 Å
α = 90.00°, β = 107.89°, γ = 90.00°
With the nearest neighbours (Å) after each atom.
Atoms (fractional coordinates):
Pr 0.0000 0.0000 0.0000  6 Te 3.21
Nd 0.5000 0.5000 0.0000  6 Te 3.20
In 0.0000 0.5000 0.5000  6 Te 3.43
In 0.5000 0.0000 0.5000  6 Te 3.42
Te 0.2444 0.5000 0.2285  1 Nd 3.20, 2 Pr 3.21, 3 In 3.42-3.43
Te 0.2591 0.0000 0.7724  2 Nd 3.20, 1 Pr 3.21, 3 In 3.42-3.43
Te 0.7409 0.0000 0.2276  2 Nd 3.20, 1 Pr 3.21, 3 In 3.42-3.43
Te 0.7556 0.5000 0.7715  1 Nd 3.20, 2 Pr 3.21, 3 In 3.42-3.43